Record 1
A plane-wave DFT calculation with GGA-PBE was carried out for a relaxed structure of FeRuW2.

distance to the lowest polymorph of the same formula = 79 meV per atom
total moment = 1.6 μB/cell
SG = P4mm

Lattice parameters (Å, degrees): 2.7263 2.7263 7.7831 90.00 90.00 90.00
With the nearest neighbours (Å) after each atom.
Sites, in units of the cell vectors:
W 0.0000 0.0000 0.9853  8 W 2.73-2.94, 4 Ru 2.76
Fe 0.0000 0.0000 0.5122  4 Ru 2.58, 4 W 2.69, 4 Fe 2.73
Ru 0.5000 0.5000 0.7318  4 Fe 2.58, 4 Ru 2.73, 4 W 2.76
W 0.5000 0.5000 0.2707  4 Fe 2.69, 8 W 2.73-2.94



Record 2
A plane-wave DFT calculation with GGA-PBE was carried out for a relaxed structure of YHoS2O.

raw formation energy = -12.583 eV per formula unit
total moment = 0.0 μB/cell
SG = P4/nmm

Lattice parameters (Å, degrees): 3.8624 3.8624 13.8656 90.00 90.00 90.00
With the nearest neighbours (Å) after each atom.
Sites, in units of the cell vectors:
Ho 0.0000 0.5000 0.8750  5 S 2.49-2.77
Y 0.0000 0.5000 0.4174  4 O 2.25
O 0.5000 0.5000 0.5000  4 Y 2.25
S 0.5000 0.0000 0.3046  1 Ho 2.49
Ho 0.5000 0.0000 0.1250  5 S 2.49-2.77
S 0.0000 0.5000 0.6954  1 Ho 2.49
O 0.0000 0.0000 0.5000  4 Y 2.25
Y 0.5000 0.0000 0.5826  4 O 2.25
S 0.5000 0.0000 0.9100  5 Ho 2.77-2.98
S 0.0000 0.5000 0.0900  5 Ho 2.77-2.98



Record 3
A plane-wave DFT calculation with GGA-PBE was carried out for a relaxed structure of LiNi3Te.

raw formation energy = 2.628 eV per formula unit
distance to the lowest polymorph of the same formula = 0 meV per atom
total moment = 0.0 μB/cell
SG = Pm-3m

Lattice parameters (Å, degrees): 4.6731 4.6731 4.6731 90.00 90.00 90.00
With the nearest neighbours (Å) after each atom.
Sites, in units of the cell vectors:
Ni 0.0000 0.5000 0.0000  2 Te 2.34
Ni 0.0000 0.0000 0.5000  2 Te 2.34
Li 0.5000 0.5000 0.5000  12 Ni 3.30
Ni 0.5000 0.0000 0.0000  2 Te 2.34
Te 0.0000 0.0000 0.0000  6 Ni 2.34



Record 4
A plane-wave DFT calculation with GGA-PBE was carried out for a relaxed structure of LaSmMgPt.

total moment = 0.0 μB/cell
SG = F-43m
E = -0.1772 hartree per atom

Lattice parameters (Å, degrees): 5.2718 5.2718 5.2718 60.00 60.00 60.00
With the nearest neighbours (Å) after each atom.
Sites, in units of the cell vectors:
Sm 0.5000 0.5000 0.5000  4 Mg 3.23, 4 Pt 3.23
La 0.0000 0.0000 0.0000  4 Pt 3.23, 4 Mg 3.23
Mg 0.7500 0.7500 0.7500  4 La 3.23, 4 Sm 3.23
Pt 0.2500 0.2500 0.2500  4 La 3.23, 4 Sm 3.23



- What is the total moment in the fourth record?
  0.0 μB/cell